ZnTc4Se PBE optimized geometry; total moment = 0.00 μB per formula unit; SG = No. 216; V = 16.29 A^3/atom; VASP energy = -42.778 eV for the cell shown
1.0
0.000 3.656 3.656
3.656 0.000 3.656
3.656 3.656 0.000
Zn Tc Se
1 4 1
direct
0.000 0.000 0.000 Zn
0.376 0.376 0.376 Tc
0.376 0.376 0.873 Tc
0.376 0.873 0.376 Tc
0.873 0.376 0.376 Tc
0.750 0.750 0.750 Se